1.
Material: Co2HW
Method: DFT, PBE
State: optimized geometry

```
Co2HW
1.0
2.429 -3.114 0.183
-0.908 -3.083 2.303
-1.068 -3.439 -1.632
Co W H
2 1 1
direct
0.250 0.250 0.250
0.750 0.750 0.750
0.500 0.500 0.500
0.000 0.000 0.000
```

Summary:
VASP energy, Ha/atom: -0.255
N(E_F), states/eV/f.u.: 4.3
Total magnetic moment, μB per formula unit: 0.00
Energy relative to the lowest polymorph listed for this composition, kcal/mol of atoms: 12.93



2.
Material: LiAgRu2
Method: DFT, PBE
State: optimized geometry

```
LiAgRu2
1.0
5.194 0.019 0.000
2.688 4.444 0.000
-3.941 -2.232 2.543
Ru Li Ag
2 1 1
direct
0.500 0.500 0.000
0.000 0.000 0.000
0.250 0.750 0.500
0.750 0.250 0.500
```

Summary:
Formation energy, meV/atom: 397
VASP energy, Ha/atom: -0.200
N(E_F), states/eV/f.u.: 4.9
Total magnetic moment, μB per formula unit: 0.00
Energy relative to the lowest polymorph listed for this composition, kcal/mol of atoms: 5.14



3.
Material: SbPPb2
Method: DFT, PBE
State: optimized geometry

```
SbPPb2
1.0
-4.303 -2.223 1.369
2.527 -2.879 3.265
-0.555 2.930 3.013
Pb Sb P
2 1 1
direct
0.500 0.000 0.000
0.000 0.500 0.000
0.500 0.500 0.500
0.000 0.000 0.500
```

Summary:
VASP energy, Ha/atom: -0.144
Formation energy from raw total energies, kJ/mol of formula units: 118
N(E_F), states/eV/f.u.: 2.0
Total magnetic moment, μB per formula unit: 0.00
Energy relative to the lowest polymorph listed for this composition, kcal/mol of atoms: 4.37



4.
Material: Ba2Ge3BiAu12
Method: DFT, PBE
State: optimized geometry

```
Ba2Ge3BiAu12
1.0
-7.850 -0.913 -7.198
-1.825 -3.853 -9.803
-5.801 -7.451 -5.010
Ge Au Ba Bi
3 12 2 1
direct
0.000 0.000 0.500
0.000 0.500 0.000
0.500 0.000 0.000
0.589 0.193 0.589
0.075 0.629 0.075
0.807 0.411 0.411
0.589 0.589 0.193
0.411 0.807 0.411
0.925 0.371 0.925
0.629 0.075 0.075
0.925 0.925 0.371
0.371 0.925 0.925
0.075 0.075 0.629
0.411 0.411 0.807
0.193 0.589 0.589
0.353 0.353 0.353
0.647 0.647 0.647
0.000 0.000 0.000
```

Summary:
Formation energy, meV/atom: -107
VASP energy, Ha/atom: -0.128
N(E_F), states/eV/f.u.: 10.6
Total magnetic moment, μB per formula unit: 0.00



5.
Material: Al4Zn3Ga2
Method: DFT, PBE
State: optimized geometry

```
Al4Zn3Ga2
1.0
-1.714 -2.263 -0.026
2.345 -0.014 1.599
-11.265 8.345 16.599
Al Zn Ga
4 3 2
direct
0.667 0.333 0.432
0.667 0.333 0.219
0.000 0.000 0.758
0.000 0.000 0.542
0.667 0.333 0.649
0.000 0.000 0.325
0.000 0.000 0.985
0.667 0.333 0.873
0.667 0.333 0.094
```

Summary:
Formation energy, meV/atom: 54
VASP energy, Ha/atom: -0.099
N(E_F), states/eV/f.u.: 3.4
Total magnetic moment, μB per formula unit: 0.00
Energy relative to the lowest polymorph listed for this composition, kcal/mol of atoms: 0.00



6.
Material: LaGa4Sb
Method: DFT, PBE
State: optimized geometry

```
LaGa4Sb
1.0
5.724 0.000 0.000
2.862 4.957 0.000
2.862 1.652 4.673
Ga La Sb
4 1 1
direct
0.626 0.626 0.123
0.123 0.626 0.626
0.626 0.626 0.626
0.626 0.123 0.626
0.250 0.250 0.250
0.000 0.000 0.000
```

Summary:
VASP energy, Ha/atom: -0.140
Formation energy from raw total energies, kJ/mol of formula units: -161
N(E_F), states/eV/f.u.: 5.3
Total magnetic moment, μB per formula unit: 0.00



7.
Material: Rb2YZn
Method: DFT, PBE
State: optimized geometry

```
Rb2YZn
1.0
12.685 0.000 0.000
0.000 12.685 0.000
6.342 6.342 2.849
Zn Y Rb
2 2 4
direct
0.500 0.500 0.000
0.250 0.750 0.500
0.000 0.000 0.000
0.750 0.250 0.500
0.875 0.743 0.750
0.493 0.125 0.250
0.375 0.507 0.750
0.257 0.625 0.250
```

Summary:
Formation energy, meV/atom: 549
VASP energy, Ha/atom: -0.069
N(E_F), states/eV/f.u.: 3.5
Total magnetic moment, μB per formula unit: 0.00



8.
Material: BaNiRu
Method: DFT, PBE
State: optimized geometry

```
BaNiRu
1.0
-4.391 2.442 3.387
-5.882 1.053 -1.009
4.593 -3.940 -0.314
Ba Ru Ni
1 1 1
direct
0.001 0.001 0.000
0.276 0.276 0.000
0.723 0.723 0.000
```

Summary:
Formation energy, meV/atom: 497
VASP energy, Ha/atom: -0.190
N(E_F), states/eV/f.u.: 3.6
Total magnetic moment, μB per formula unit: 1.06
Energy relative to the lowest polymorph listed for this composition, kcal/mol of atoms: 7.38



The lowest N(E_F) belongs to which entry?
SbPPb2



Copy entry 1 word for word.
Material: Co2HW
Method: DFT, PBE
State: optimized geometry

```
Co2HW
1.0
2.429 -3.114 0.183
-0.908 -3.083 2.303
-1.068 -3.439 -1.632
Co W H
2 1 1
direct
0.250 0.250 0.250
0.750 0.750 0.750
0.500 0.500 0.500
0.000 0.000 0.000
```

Summary:
VASP energy, Ha/atom: -0.255
N(E_F), states/eV/f.u.: 4.3
Total magnetic moment, μB per formula unit: 0.00
Energy relative to the lowest polymorph listed for this composition, kcal/mol of atoms: 12.93



Which value of VASP energy does entry 8 give?
-0.190 Ha/atom